Below is Sc3HgC after structural relaxation, with properties calculated at the PBE-GGA level.

- polymorph energy (0 for the lowest one) (meV/atom) = 436.7
- energy of formation from the pure elements (eV/f.u.) = -0.6

a = 3.293 Å, b = 5.787 Å, c = 5.787 Å
α = 97.23°, β = 90.00°, γ = 90.00°
Fractional positions:
Sc1 0.000 0.000 0.000
Sc2 0.500 0.147 0.491
Sc3 0.500 0.491 0.147
Hg1 0.500 0.677 0.677
C1 0.000 0.278 0.278